i | The following is a DFT calculation (GGA-PBE) of an optimized crystal structure of La6TmTh.

## Properties
M_tot   0.0 μB per formula unit
Space-group type   P4/mmm, No. 123

Lattice parameters (Å, degrees): 5.1947 5.1947 10.3842 90.00 90.00 90.00
Sites, in units of the cell vectors:
La  0.5000  0.0000  0.2541
La  0.5000  0.0000  0.7459
La  0.0000  0.5000  0.7459
Tm  0.0000  0.0000  0.0000
Th  0.0000  0.0000  0.5000
La  0.5000  0.5000  0.0000
La  0.5000  0.5000  0.5000
La  0.0000  0.5000  0.2541



ii | The following is a DFT calculation (GGA-PBE) of an optimized crystal structure of La6TmTh.

## Properties
M_tot   0.0 μB per formula unit
Space-group type   P-1, No. 2

Lattice parameters (Å, degrees): 6.8136 6.7118 6.9568 91.33 60.63 92.92
Sites, in units of the cell vectors:
La  0.4579  0.2725  0.0005
La  0.5413  0.7569  0.5497
La  0.4587  0.2431  0.4503
Tm  0.0000  0.0000  0.0000
La  0.0918  0.7576  0.4496
La  0.9082  0.2424  0.5504
La  0.5421  0.7275  0.9995
Th  0.0000  0.5000  0.0000



i is the most stable structure; the next one sits 0.114 eV/atom above it.



i | The following is a DFT calculation (GGA-PBE) of an optimized crystal structure of LaTmTh.

## Properties
M_tot   0.0 μB per formula unit
Space-group type   I4mm, No. 107

Lattice parameters (Å, degrees): 3.6167 3.6167 8.0185 103.03 103.03 90.00
Sites, in units of the cell vectors:
La  0.9934  0.9934  0.9868
Tm  0.6766  0.6766  0.3531
Th  0.3300  0.3300  0.6600



ii | The following is a DFT calculation (GGA-PBE) of an optimized crystal structure of LaTmTh.

## Properties
M_tot   0.0 μB per formula unit
Space-group type   P4/nmm, No. 129

Lattice parameters (Å, degrees): 4.2100 4.2100 11.3211 90.00 90.00 90.00
Sites, in units of the cell vectors:
La  0.0000  0.5000  0.5995
Tm  0.0000  0.5000  0.2329
La  0.5000  0.0000  0.4005
Tm  0.5000  0.0000  0.7671
Th  0.0000  0.5000  0.9187
Th  0.5000  0.0000  0.0813



iii | The following is a DFT calculation (GGA-PBE) of an optimized crystal structure of LaTmTh.

## Properties
M_tot   0.0 μB per formula unit
Space-group type   P-6m2, No. 187

Lattice parameters (Å, degrees): 5.7298 5.7298 3.5314 90.00 90.00 120.00
Sites, in units of the cell vectors:
Tm  0.0000  0.0000  0.1673
Th  0.6667  0.3333  0.1662
La  0.3333  0.6667  0.6665



i is the most stable structure; the next one sits 0.063 eV/atom above it.



i | The following is a DFT calculation (GGA-PBE) of an optimized crystal structure of LaTmTh.

## Properties
M_tot   0.0 μB per formula unit
Space-group type   P-6m2, No. 187

Lattice parameters (Å, degrees): 3.4669 5.7409 5.7409 120.00 90.00 90.00
Sites, in units of the cell vectors:
Th  0.1669  0.3333  0.6667
Tm  0.6667  0.6667  0.3333
La  0.1664  0.0000  0.0000



ii | The following is a DFT calculation (GGA-PBE) of an optimized crystal structure of LaTmTh.

## Properties
M_tot   0.0 μB per formula unit
Space-group type   P2_1/c, No. 14

Lattice parameters (Å, degrees): 6.6882 6.9331 8.8607 90.00 101.91 90.00
Sites, in units of the cell vectors:
Tm  0.1368  0.4029  0.6786
La  0.8419  0.0903  0.3318
Tm  0.8632  0.5971  0.3214
Th  0.9289  0.2726  0.0043
La  0.3419  0.4097  0.3318
Th  0.5711  0.7726  0.9957
Tm  0.3632  0.9029  0.3214
Th  0.4289  0.2274  0.0043
Tm  0.6368  0.0971  0.6786
La  0.1581  0.9097  0.6682
Th  0.0711  0.7274  0.9957
La  0.6581  0.5903  0.6682



i is the most stable structure; the next one sits 0.071 eV/atom above it.



i | The following is a DFT calculation (GGA-PBE) of an optimized crystal structure of LaTm2Th2.

## Properties
M_tot   0.0 μB per formula unit
Space-group type   P-3m1, No. 164

Lattice parameters (Å, degrees): 3.5723 3.5723 14.6119 90.00 90.00 120.00
Sites, in units of the cell vectors:
La  0.0000  0.0000  0.5000
Tm  0.3333  0.6667  0.2980
Th  0.3333  0.6667  0.9007
Tm  0.6667  0.3333  0.7020
Th  0.6667  0.3333  0.0993



ii | The following is a DFT calculation (GGA-PBE) of an optimized crystal structure of LaTm2Th2.

## Properties
M_tot   0.0 μB per formula unit
Space-group type   R-3m, No. 166

Lattice parameters (Å, degrees): 3.5862 3.5862 14.6151 82.95 82.95 60.00
Sites, in units of the cell vectors:
La  0.0000  0.0000  0.0000
Th  0.8007  0.8007  0.5978
Tm  0.5983  0.5983  0.2050
Tm  0.4017  0.4017  0.7950
Th  0.1993  0.1993  0.4022



ii is the most stable structure; the next one sits 0.016 eV/atom above it.



i | The following is a DFT calculation (GGA-PBE) of an optimized crystal structure of La2Tm2Th.

## Properties
M_tot   0.0 μB per formula unit
Space-group type   Cmmm, No. 65

Lattice parameters (Å, degrees): 3.5804 5.1255 9.3463 105.90 90.00 90.00
Sites, in units of the cell vectors:
La  0.0000  0.1941  0.3892
Th  0.0000  0.0000  0.0000
Tm  0.5000  0.4046  0.8088
La  0.0000  0.8059  0.6108
Tm  0.5000  0.5954  0.1912



ii | The following is a DFT calculation (GGA-PBE) of an optimized crystal structure of La2Tm2Th.

## Properties
M_tot   0.0 μB per formula unit
Space-group type   R-3m, No. 166

Lattice parameters (Å, degrees): 3.6124 3.6124 14.7504 82.97 82.97 60.00
Sites, in units of the cell vectors:
La  0.7985  0.7985  0.6044
La  0.2015  0.2015  0.3956
Tm  0.3966  0.3966  0.8103
Tm  0.6034  0.6034  0.1897
Th  0.0000  0.0000  0.0000



ii is the most stable structure; the next one sits 0.040 eV/atom above it.



i | The following is a DFT calculation (GGA-PBE) of an optimized crystal structure of La7Tm2Th2.

## Properties
M_tot   0.0 μB per formula unit
Space-group type   C2/m, No. 12

Lattice parameters (Å, degrees): 6.2407 8.1257 8.1257 91.45 74.92 74.92
Sites, in units of the cell vectors:
La  0.4118  0.2355  0.2355
Tm  0.5000  0.2248  0.7752
Tm  0.5000  0.7752  0.2248
La  0.8319  0.4220  0.9330
La  0.8319  0.9330  0.4220
La  0.0000  0.0000  0.0000
Th  0.8004  0.4212  0.4212
Th  0.1996  0.5788  0.5788
La  0.1681  0.5780  0.0670
La  0.5882  0.7645  0.7645
La  0.1681  0.0670  0.5780



ii | The following is a DFT calculation (GGA-PBE) of an optimized crystal structure of La7Tm2Th2.

## Properties
M_tot   0.0 μB per formula unit
Space-group type   C2/m, No. 12

Lattice parameters (Å, degrees): 6.4295 6.4295 10.2204 91.21 91.21 114.21
Sites, in units of the cell vectors:
La  0.4095  0.8130  0.8475
Th  0.8232  0.8232  0.6341
Tm  0.7276  0.2724  0.5000
La  0.7057  0.7057  0.3016
La  0.0000  0.0000  0.0000
La  0.2943  0.2943  0.6984
La  0.5905  0.1870  0.1525
Th  0.1768  0.1768  0.3659
La  0.1870  0.5905  0.1525
Tm  0.2724  0.7276  0.5000
La  0.8130  0.4095  0.8475



ii is the most stable structure; the next one sits 0.056 eV/atom above it.



i | The following is a DFT calculation (GGA-PBE) of an optimized crystal structure of La4Y2Th.

## Properties
M_tot   0.9 μB per formula unit
Space-group type   P-42m, No. 111

Lattice parameters (Å, degrees): 3.5306 8.3651 8.3651 90.00 90.00 90.00
Last column: magnetic moment on the atom in μB.
Sites, in units of the cell vectors:
La  0.8705  0.7074  0.2926  0.05
La  0.1295  0.2926  0.2926  0.05
La  0.1295  0.7074  0.7074  0.05
Th  0.0000  0.0000  0.0000  0.28
La  0.8705  0.2926  0.7074  0.05
Y  0.5000  0.0000  0.5000  0.00
Y  0.5000  0.5000  0.0000  0.00



ii | The following is a DFT calculation (GGA-PBE) of an optimized crystal structure of La4Y2Th.

## Properties
M_tot   0.0 μB per formula unit
Space-group type   Imma, No. 74

Lattice parameters (Å, degrees): 6.9515 9.1550 9.1550 80.06 67.69 67.69
Sites, in units of the cell vectors:
La  0.1587  0.8403  0.8422
La  0.8413  0.6578  0.6597
La  0.2096  0.7590  0.2590
La  0.7724  0.7590  0.2590
Th  0.5000  0.5000  0.0000
La  0.8413  0.1597  0.1578
Y  0.5000  0.5000  0.5000
Y  0.2827  0.9673  0.4673
La  0.1587  0.3422  0.3403
Th  0.0000  0.5000  0.0000
La  0.7904  0.2410  0.7410
Y  0.5000  0.0000  0.0000
Y  0.7173  0.0327  0.5327
La  0.2276  0.2410  0.7410



ii is the most stable structure; the next one sits 0.040 eV/atom above it.



i | The following is a DFT calculation (GGA-PBE) of an optimized crystal structure of La5Y2Th.

## Properties
M_tot   0.0 μB per formula unit
Space-group type   Pbam, No. 55

Lattice parameters (Å, degrees): 5.1846 7.3563 14.6990 90.00 90.00 90.00
Sites, in units of the cell vectors:
La  0.0000  0.0111  0.2535
La  0.5000  0.7524  0.6226
La  0.5000  0.7476  0.1226
La  0.5000  0.2524  0.8774
La  0.0000  0.9889  0.7465
Th  0.0000  0.0000  0.5000
La  0.0000  0.5000  0.5000
La  0.0000  0.4889  0.7535
Y  0.5000  0.7377  0.8797
La  0.0000  0.5111  0.2465
La  0.5000  0.2476  0.3774
Th  0.0000  0.5000  0.0000
Y  0.5000  0.2377  0.6203
Y  0.5000  0.2623  0.1203
La  0.0000  0.0000  0.0000
Y  0.5000  0.7623  0.3797



ii | The following is a DFT calculation (GGA-PBE) of an optimized crystal structure of La5Y2Th.

## Properties
M_tot   0.0 μB per formula unit
Space-group type   Cmcm, No. 63

Lattice parameters (Å, degrees): 5.7001 6.7071 16.6921 90.00 90.00 115.15
Sites, in units of the cell vectors:
Th  0.7399  0.4797  0.7500
Y  0.2244  0.4488  0.6365
La  0.4669  0.9338  0.7500
La  0.3774  0.7548  0.4496
Y  0.7756  0.5512  0.1365
La  0.0750  0.1499  0.4034
La  0.0750  0.1499  0.0966
La  0.6226  0.2452  0.5504
Th  0.2601  0.5203  0.2500
Y  0.2244  0.4488  0.8635
La  0.5331  0.0662  0.2500
La  0.3774  0.7548  0.0504
La  0.9250  0.8501  0.9034
Y  0.7756  0.5512  0.3635
La  0.6226  0.2452  0.9496
La  0.9250  0.8501  0.5966



i is the most stable structure; the next one sits 0.094 eV/atom above it.